6
Lattice="-1.1529 3.4846 2.6707 0.3725 -0.3756 4.5082 3.2111 2.3226 2.2133" Properties=species:S:1:pos:R:3 comment="TaBe4Mo | Alexandria via LeMat-Bulk | PBE | optimized geometry" ef_ev_per_atom=-0.288 m_tot_mub_per_cell=0.000 de_polymorph_ev_per_fu=0.00 pbc="T T T"
Be 2.0892 1.6602 4.5360
Be 1.5170 3.3898 5.8616
Be 1.3320 3.5762 3.6239
Be -0.0769 2.2370 4.7630
Mo 0.6077 1.3579 2.3481
Ta 0.0000 0.0000 0.0000